Entry 1:
This record from Alexandria via LeMat-Bulk describes a crystal of HgAsW2 relaxed with PBEsol. The functional is SCAN.

Computed properties:
- Calculated formation energy: 0.9436 eV/atom
- Distance to the lowest polymorph of the same formula: 1.251 eV/f.u.

abc: 3.9930 3.9930 5.0239
angles: 113.42 113.42 90.00
Last column: nearest neighbours and their distance in Å.
Fractional coordinates of all 4 atoms:
As 0.5000 0.5000 0.0000  8 W 2.82-2.88, 4 Hg 2.88
W 0.7500 0.2500 0.5000  4 Hg 2.82, 4 As 2.88, 4 W 2.88
Hg 0.2500 0.7500 0.5000  8 W 2.82-2.88, 4 As 2.88
W 0.0000 0.0000 0.0000  4 As 2.82, 4 Hg 2.88, 4 W 2.88



Entry 2:
This record from Alexandria via LeMat-Bulk describes a crystal of HgAsW2 relaxed with PBEsol. The functional is SCAN.

Computed properties:
- Calculated formation energy: 0.6309 eV/atom
- Distance to the lowest polymorph of the same formula: 0.000 eV/f.u.

abc: 2.9639 2.9639 8.8373
angles: 80.35 80.35 60.00
Last column: nearest neighbours and their distance in Å.
Fractional coordinates of all 4 atoms:
W 0.7420 0.7420 0.7740  3 As 2.60
As 0.0000 0.0000 0.0000  6 W 2.60
Hg 0.5000 0.5000 0.5000  6 W 2.93, 6 Hg 2.96
W 0.2580 0.2580 0.2260  3 As 2.60



Entry 3:
This record from Alexandria via LeMat-Bulk describes a crystal of HgAs2W relaxed with PBEsol. The functional is SCAN.

Computed properties:
- Calculated formation energy: 0.5439 eV/atom

abc: 3.2156 3.2156 7.2685
angles: 90.00 90.00 90.00
Last column: nearest neighbours and their distance in Å.
Fractional coordinates of all 4 atoms:
As 0.0000 0.0000 0.9634  4 W 2.54, 4 As 2.80
W 0.5000 0.5000 0.8079  5 As 2.54-2.77
Hg 0.0000 0.0000 0.5394  4 W 3.00, 1 As 3.08, 4 Hg 3.22
As 0.5000 0.5000 0.1893  1 W 2.77, 4 As 2.80



Entry 4:
This record from Alexandria via LeMat-Bulk describes a crystal of Hg3AsW relaxed with PBEsol. The functional is SCAN.

Computed properties:
- Calculated formation energy: 1.5088 eV/atom

abc: 5.1274 5.1274 5.1274
angles: 90.00 90.00 90.00
Last column: nearest neighbours and their distance in Å.
Fractional coordinates of all 5 atoms:
As 0.0000 0.0000 0.0000  6 Hg 2.56
Hg 0.5000 0.0000 0.0000  2 As 2.56
W 0.5000 0.5000 0.5000  12 Hg 3.63
Hg 0.0000 0.5000 0.0000  2 As 2.56
Hg 0.0000 0.0000 0.5000  2 As 2.56



Entry 5:
This record from Alexandria via LeMat-Bulk describes a crystal of Y2HgAs relaxed with PBEsol. The functional is SCAN.

Computed properties:
- Calculated formation energy: -0.9218 eV/atom
- Distance to the lowest polymorph of the same formula: 0.972 eV/f.u.

abc: 3.7360 4.9535 4.9535
angles: 90.00 90.00 90.00
Last column: nearest neighbours and their distance in Å.
Fractional coordinates of all 4 atoms:
Y 0.0000 0.0000 0.5000  4 Hg 3.10, 4 As 3.10
Y 0.0000 0.5000 0.0000  4 Hg 3.10, 4 As 3.10
As 0.5000 0.5000 0.5000  8 Y 3.10
Hg 0.5000 0.0000 0.0000  8 Y 3.10



Entry 6:
This record from Alexandria via LeMat-Bulk describes a crystal of YHgAs relaxed with PBEsol. The functional is SCAN.

Computed properties:
- Calculated formation energy: -0.7953 eV/atom

abc: 3.9537 3.9537 6.5725
angles: 107.50 107.50 90.00
Last column: nearest neighbours and their distance in Å.
Fractional coordinates of all 3 atoms:
As 0.9061 0.9061 0.8122  1 Hg 2.80, 4 Y 2.80
Y 0.4232 0.4232 0.8465  4 As 2.80, 1 Hg 2.94
Hg 0.6706 0.6706 0.3413  1 As 2.80, 1 Y 2.94



Question: calculated formation energy of number 3 (HgAs2W)?
Answer: 0.5439 eV/atom